# 1
# NdHoAs2O8, relaxed, DFT PBE
# * formation energy without anion corrections: -2332 meV per atom
data_NdHoAs2O8
_chemical_formula_sum 'Nd2 Ho2 As4 O16'
_symmetry_space_group_name_H-M 'I -4'
_symmetry_Int_Tables_number 82
_cell_length_a 5.102
_cell_length_b 5.102
_cell_length_c 11.518
_cell_angle_alpha 90.00
_cell_angle_beta 90.00
_cell_angle_gamma 90.00
loop_
_symmetry_equiv_pos_as_xyz
'x,y,z'
'y,-x,-z'
'-x,-y,z'
'-y,x,-z'
'x+1/2,y+1/2,z+1/2'
'y+1/2,-x+1/2,-z+1/2'
'-x+1/2,-y+1/2,z+1/2'
'-y+1/2,x+1/2,-z+1/2'
loop_
_atom_site_label
_atom_site_fract_x
_atom_site_fract_y
_atom_site_fract_z
_atom_site_occupancy
Nd1 0.000 0.000 0.000 1
Ho1 0.000 0.500 0.750 1
As1 0.000 0.000 0.500 1
As2 0.000 0.500 0.250 1
O1 0.138 0.251 0.580 1
O2 0.151 0.750 0.174 1

=====

# 2
# NdHoAsP, relaxed, DFT PBE
# * energy of formation from the pure elements: -1.510 eV/atom
data_NdHoAsP
_chemical_formula_sum 'Nd1 Ho1 As1 P1'
_symmetry_space_group_name_H-M 'P 4/m m m'
_symmetry_Int_Tables_number 123
_symmetry_space_group_name_Hall '-P 4 2'
_cell_length_a 4.144
_cell_length_b 4.144
_cell_length_c 5.837
_cell_angle_alpha 90.00
_cell_angle_beta 90.00
_cell_angle_gamma 90.00
loop_
_atom_site_label
_atom_site_fract_x
_atom_site_fract_y
_atom_site_fract_z
_atom_site_occupancy
Nd1 0.000 0.000 0.000 1
Ho1 0.500 0.500 0.500 1
As1 0.500 0.500 0.000 1
P1 0.000 0.000 0.500 1

=====

# 3
# Nd2HoPaAs5, relaxed, DFT PBE
# * energy of formation from the pure elements: -0.609 eV/atom
data_Nd2HoPaAs5
_chemical_formula_sum 'Nd2 Ho1 Pa1 As5'
_symmetry_space_group_name_H-M 'P 4/m m m'
_symmetry_Int_Tables_number 123
_symmetry_space_group_name_Hall '-P 4 2'
_cell_length_a 5.092
_cell_length_b 5.092
_cell_length_c 10.894
_cell_angle_alpha 90.00
_cell_angle_beta 90.00
_cell_angle_gamma 90.00
loop_
_atom_site_label
_atom_site_fract_x
_atom_site_fract_y
_atom_site_fract_z
_atom_site_occupancy
Nd1 0.000 0.000 0.227 1
Ho1 0.500 0.500 0.500 1
Pa1 0.500 0.500 0.000 1
As1 0.000 0.000 0.500 1
As2 0.000 0.500 0.000 1
As3 0.500 0.500 0.254 1

=====

# 4
# Nd2HoPaAs4, relaxed, DFT PBE
# * energy of formation from the pure elements: -1.410 eV/atom
data_Nd2HoPaAs4
_chemical_formula_sum 'Nd2 Ho1 Pa1 As4'
_symmetry_space_group_name_H-M 'P 1 2/m 1'
_symmetry_Int_Tables_number 10
_cell_length_a 7.207
_cell_length_b 4.182
_cell_length_c 7.261
_cell_angle_alpha 90.00
_cell_angle_beta 109.42
_cell_angle_gamma 90.00
loop_
_symmetry_equiv_pos_as_xyz
'x,y,z'
'-x,-y,-z'
'-x,y,-z'
'x,-y,z'
loop_
_atom_site_label
_atom_site_fract_x
_atom_site_fract_y
_atom_site_fract_z
_atom_site_occupancy
Nd1 0.000 0.000 0.000 1
Nd2 0.500 0.500 0.000 1
Ho1 0.000 0.500 0.500 1
Pa1 0.500 0.000 0.500 1
As1 0.249 0.000 0.736 1
As2 0.256 0.500 0.264 1

=====

# 5
# NdHoAs2Pd5, relaxed, DFT PBE
# * energy of formation from the pure elements: -0.782 eV/atom
data_NdHoAs2Pd5
_chemical_formula_sum 'Nd1 Ho1 As2 Pd5'
_symmetry_space_group_name_H-M 'P 4/m m m'
_symmetry_Int_Tables_number 123
_symmetry_space_group_name_Hall '-P 4 2'
_cell_length_a 4.263
_cell_length_b 4.263
_cell_length_c 9.317
_cell_angle_alpha 90.00
_cell_angle_beta 90.00
_cell_angle_gamma 90.00
loop_
_atom_site_label
_atom_site_fract_x
_atom_site_fract_y
_atom_site_fract_z
_atom_site_occupancy
Nd1 0.000 0.000 0.000 1
Ho1 0.000 0.000 0.500 1
As1 0.500 0.500 0.365 1
Pd1 0.000 0.500 0.228 1
Pd2 0.500 0.500 0.000 1

=====

# 6
# Pm2Nd3HoAs6, relaxed, DFT PBE
# * energy of formation from the pure elements: -1.514 eV/atom
data_Pm2Nd3HoAs6
_chemical_formula_sum 'Pm4 Nd6 Ho2 As12'
_symmetry_space_group_name_H-M 'C 1 2/m 1'
_symmetry_Int_Tables_number 12
_cell_length_a 18.449
_cell_length_b 4.236
_cell_length_c 8.465
_cell_angle_alpha 90.00
_cell_angle_beta 103.26
_cell_angle_gamma 90.00
loop_
_symmetry_equiv_pos_as_xyz
'x,y,z'
'-x,-y,-z'
'-x,y,-z'
'x,-y,z'
'x+1/2,y+1/2,z'
'-x+1/2,-y+1/2,-z'
'-x+1/2,y+1/2,-z'
'x+1/2,-y+1/2,z'
loop_
_atom_site_label
_atom_site_fract_x
_atom_site_fract_y
_atom_site_fract_z
_atom_site_occupancy
Pm1 0.166 0.000 0.332 1
Nd1 0.000 0.500 0.500 1
Nd2 0.167 0.000 0.834 1
Ho1 0.000 0.500 0.000 1
As1 0.000 0.000 0.243 1
As2 0.164 0.500 0.083 1
As3 0.167 0.500 0.582 1

=====

# 7
# Pm2NdHo3As6, relaxed, DFT PBE
# * energy of formation from the pure elements: -1.520 eV/atom
data_Pm2NdHo3As6
_chemical_formula_sum 'Pm4 Nd2 Ho6 As12'
_symmetry_space_group_name_H-M 'C 1 2/m 1'
_symmetry_Int_Tables_number 12
_cell_length_a 18.191
_cell_length_b 4.177
_cell_length_c 8.346
_cell_angle_alpha 90.00
_cell_angle_beta 103.19
_cell_angle_gamma 90.00
loop_
_symmetry_equiv_pos_as_xyz
'x,y,z'
'-x,-y,-z'
'-x,y,-z'
'x,-y,z'
'x+1/2,y+1/2,z'
'-x+1/2,-y+1/2,-z'
'-x+1/2,y+1/2,-z'
'x+1/2,-y+1/2,z'
loop_
_atom_site_label
_atom_site_fract_x
_atom_site_fract_y
_atom_site_fract_z
_atom_site_occupancy
Pm1 0.167 0.000 0.334 1
Nd1 0.000 0.500 0.000 1
Ho1 0.000 0.500 0.500 1
Ho2 0.167 0.000 0.833 1
As1 0.002 0.000 0.744 1
As2 0.165 0.500 0.588 1
As3 0.169 0.500 0.079 1

=====

# 8
# Pm3Nd2HoAs6, relaxed, DFT PBE
# * energy of formation from the pure elements: -1.516 eV/atom
data_Pm3Nd2HoAs6
_chemical_formula_sum 'Pm6 Nd4 Ho2 As12'
_symmetry_space_group_name_H-M 'C 1 2/m 1'
_symmetry_Int_Tables_number 12
_cell_length_a 18.425
_cell_length_b 4.230
_cell_length_c 8.454
_cell_angle_alpha 90.00
_cell_angle_beta 103.28
_cell_angle_gamma 90.00
loop_
_symmetry_equiv_pos_as_xyz
'x,y,z'
'-x,-y,-z'
'-x,y,-z'
'x,-y,z'
'x+1/2,y+1/2,z'
'-x+1/2,-y+1/2,-z'
'-x+1/2,y+1/2,-z'
'x+1/2,-y+1/2,z'
loop_
_atom_site_label
_atom_site_fract_x
_atom_site_fract_y
_atom_site_fract_z
_atom_site_occupancy
Pm1 0.000 0.000 0.000 1
Pm2 0.167 0.500 0.334 1
Nd1 0.166 0.500 0.832 1
Ho1 0.000 0.000 0.500 1
As1 0.001 0.500 0.256 1
As2 0.164 0.000 0.580 1
As3 0.166 0.000 0.084 1

=====

# 9
# Pr2NdHo3As6, relaxed, DFT PBE
# * energy of formation from the pure elements: -1.507 eV/atom
data_Pr2NdHo3As6
_chemical_formula_sum 'Pr4 Nd2 Ho6 As12'
_symmetry_space_group_name_H-M 'C 1 2/m 1'
_symmetry_Int_Tables_number 12
_cell_length_a 18.293
_cell_length_b 4.202
_cell_length_c 8.393
_cell_angle_alpha 90.00
_cell_angle_beta 103.17
_cell_angle_gamma 90.00
loop_
_symmetry_equiv_pos_as_xyz
'x,y,z'
'-x,-y,-z'
'-x,y,-z'
'x,-y,z'
'x+1/2,y+1/2,z'
'-x+1/2,-y+1/2,-z'
'-x+1/2,y+1/2,-z'
'x+1/2,-y+1/2,z'
loop_
_atom_site_label
_atom_site_fract_x
_atom_site_fract_y
_atom_site_fract_z
_atom_site_occupancy
Pr1 0.166 0.000 0.333 1
Nd1 0.000 0.500 0.000 1
Ho1 0.000 0.500 0.500 1
Ho2 0.167 0.000 0.833 1
As1 0.003 0.000 0.744 1
As2 0.164 0.500 0.590 1
As3 0.169 0.500 0.076 1

=====

# 10
# Pr2NdHoAs4, relaxed, DFT PBE
# * energy of formation from the pure elements: -1.500 eV/atom
data_Pr2NdHoAs4
_chemical_formula_sum 'Pr2 Nd1 Ho1 As4'
_symmetry_space_group_name_H-M 'P 1 2/m 1'
_symmetry_Int_Tables_number 10
_cell_length_a 7.356
_cell_length_b 4.252
_cell_length_c 7.357
_cell_angle_alpha 90.00
_cell_angle_beta 109.46
_cell_angle_gamma 90.00
loop_
_symmetry_equiv_pos_as_xyz
'x,y,z'
'-x,-y,-z'
'-x,y,-z'
'x,-y,z'
loop_
_atom_site_label
_atom_site_fract_x
_atom_site_fract_y
_atom_site_fract_z
_atom_site_occupancy
Pr1 0.000 0.000 0.000 1
Pr2 0.000 0.500 0.500 1
Nd1 0.500 0.000 0.500 1
Ho1 0.500 0.500 0.000 1
As1 0.256 0.500 0.247 1
As2 0.259 0.000 0.758 1

=====

# 11
# PrNd2Ho3As6, relaxed, DFT PBE
# * energy of formation from the pure elements: -1.510 eV/atom
data_PrNd2Ho3As6
_chemical_formula_sum 'Pr2 Nd4 Ho6 As12'
_symmetry_space_group_name_H-M 'C 1 2/m 1'
_symmetry_Int_Tables_number 12
_cell_length_a 18.268
_cell_length_b 4.196
_cell_length_c 8.381
_cell_angle_alpha 90.00
_cell_angle_beta 103.19
_cell_angle_gamma 90.00
loop_
_symmetry_equiv_pos_as_xyz
'x,y,z'
'-x,-y,-z'
'-x,y,-z'
'x,-y,z'
'x+1/2,y+1/2,z'
'-x+1/2,-y+1/2,-z'
'-x+1/2,y+1/2,-z'
'x+1/2,-y+1/2,z'
loop_
_atom_site_label
_atom_site_fract_x
_atom_site_fract_y
_atom_site_fract_z
_atom_site_occupancy
Pr1 0.000 0.000 0.000 1
Nd1 0.167 0.500 0.333 1
Ho1 0.000 0.000 0.500 1
Ho2 0.167 0.500 0.833 1
As1 0.002 0.500 0.743 1
As2 0.164 0.000 0.589 1
As3 0.170 0.000 0.078 1

=====

# 12
# Pr2Nd3HoAs6, relaxed, DFT PBE
# * energy of formation from the pure elements: -1.502 eV/atom
data_Pr2Nd3HoAs6
_chemical_formula_sum 'Pr4 Nd6 Ho2 As12'
_symmetry_space_group_name_H-M 'C 1 2/m 1'
_symmetry_Int_Tables_number 12
_cell_length_a 18.553
_cell_length_b 4.260
_cell_length_c 8.514
_cell_angle_alpha 90.00
_cell_angle_beta 103.29
_cell_angle_gamma 90.00
loop_
_symmetry_equiv_pos_as_xyz
'x,y,z'
'-x,-y,-z'
'-x,y,-z'
'x,-y,z'
'x+1/2,y+1/2,z'
'-x+1/2,-y+1/2,-z'
'-x+1/2,y+1/2,-z'
'x+1/2,-y+1/2,z'
loop_
_atom_site_label
_atom_site_fract_x
_atom_site_fract_y
_atom_site_fract_z
_atom_site_occupancy
Pr1 0.166 0.000 0.332 1
Nd1 0.000 0.500 0.500 1
Nd2 0.167 0.000 0.834 1
Ho1 0.000 0.500 0.000 1
As1 0.001 0.000 0.758 1
As2 0.164 0.500 0.080 1
As3 0.166 0.500 0.584 1

=====

# 13
# Nd2HoAs3Pt4, relaxed, DFT PBE
# * energy of formation from the pure elements: -0.966 eV/atom
data_Nd2HoAs3Pt4
_chemical_formula_sum 'Nd2 Ho1 As3 Pt4'
_symmetry_space_group_name_H-M 'P -4 m 2'
_symmetry_Int_Tables_number 115
_cell_length_a 4.299
_cell_length_b 4.299
_cell_length_c 11.324
_cell_angle_alpha 90.00
_cell_angle_beta 90.00
_cell_angle_gamma 90.00
loop_
_symmetry_equiv_pos_as_xyz
'x,y,z'
'y,-x,-z'
'-x,-y,z'
'-y,x,-z'
'-x,y,z'
'-y,-x,-z'
'x,-y,z'
'y,x,-z'
loop_
_atom_site_label
_atom_site_fract_x
_atom_site_fract_y
_atom_site_fract_z
_atom_site_occupancy
Nd1 0.000 0.500 0.214 1
Ho1 0.000 0.000 0.500 1
As1 0.000 0.500 0.871 1
As2 0.500 0.500 0.500 1
Pt1 0.000 0.000 0.000 1
Pt2 0.000 0.500 0.654 1
Pt3 0.500 0.500 0.000 1

=====

# 14
# Nd2HoPuAs4, relaxed, DFT PBE
# * energy of formation from the pure elements: -1.379 eV/atom
data_Nd2HoPuAs4
_chemical_formula_sum 'Nd2 Ho1 Pu1 As4'
_symmetry_space_group_name_H-M 'P 1 2/m 1'
_symmetry_Int_Tables_number 10
_cell_length_a 7.252
_cell_length_b 4.202
_cell_length_c 7.258
_cell_angle_alpha 90.00
_cell_angle_beta 109.45
_cell_angle_gamma 90.00
loop_
_symmetry_equiv_pos_as_xyz
'x,y,z'
'-x,-y,-z'
'-x,y,-z'
'x,-y,z'
loop_
_atom_site_label
_atom_site_fract_x
_atom_site_fract_y
_atom_site_fract_z
_atom_site_occupancy
Nd1 0.000 0.000 0.000 1
Nd2 0.500 0.500 0.000 1
Ho1 0.000 0.500 0.500 1
Pu1 0.500 0.000 0.500 1
As1 0.247 0.000 0.739 1
As2 0.254 0.500 0.262 1

=====

# 15
# NdHoAs2Rh5, relaxed, DFT PBE
# * energy of formation from the pure elements: -0.737 eV/atom
data_NdHoAs2Rh5
_chemical_formula_sum 'Nd1 Ho1 As2 Rh5'
_symmetry_space_group_name_H-M 'P 4/m m m'
_symmetry_Int_Tables_number 123
_symmetry_space_group_name_Hall '-P 4 2'
_cell_length_a 4.271
_cell_length_b 4.271
_cell_length_c 8.829
_cell_angle_alpha 90.00
_cell_angle_beta 90.00
_cell_angle_gamma 90.00
loop_
_atom_site_label
_atom_site_fract_x
_atom_site_fract_y
_atom_site_fract_z
_atom_site_occupancy
Nd1 0.000 0.000 0.000 1
Ho1 0.000 0.000 0.500 1
As1 0.500 0.500 0.355 1
Rh1 0.000 0.500 0.238 1
Rh2 0.500 0.500 0.000 1

=====

# 16
# Nd2HoAs3Rh12, relaxed, DFT PBE
# * energy of formation from the pure elements: -0.287 eV/atom
data_Nd2HoAs3Rh12
_chemical_formula_sum 'Nd6 Ho3 As9 Rh36'
_symmetry_space_group_name_H-M 'R -3 m'
_symmetry_Int_Tables_number 166
_symmetry_space_group_name_Hall '-R 3 2"'
_cell_length_a 9.1631
_cell_length_b 9.1631
_cell_length_c 12.9909
_cell_angle_alpha 90.00
_cell_angle_beta 90.00
_cell_angle_gamma 120.00
loop_
_atom_site_label
_atom_site_fract_x
_atom_site_fract_y
_atom_site_fract_z
_atom_site_occupancy
Nd1 0.0000 0.0000 0.1426 1
Ho1 0.0000 0.0000 0.5000 1
As1 0.0000 0.5000 0.0000 1
Rh1 0.0036 0.5018 0.8173 1
Rh2 0.0132 0.5066 0.3850 1

=====

# 17
# Nd2HoAs3Rh4, relaxed, DFT PBE
# * energy of formation from the pure elements: -0.968 eV/atom
data_Nd2HoAs3Rh4
_chemical_formula_sum 'Nd2 Ho1 As3 Rh4'
_symmetry_space_group_name_H-M 'P -4 m 2'
_symmetry_Int_Tables_number 115
_cell_length_a 4.137
_cell_length_b 4.137
_cell_length_c 11.417
_cell_angle_alpha 90.00
_cell_angle_beta 90.00
_cell_angle_gamma 90.00
loop_
_symmetry_equiv_pos_as_xyz
'x,y,z'
'y,-x,-z'
'-x,-y,z'
'-y,x,-z'
'-x,y,z'
'-y,-x,-z'
'x,-y,z'
'y,x,-z'
loop_
_atom_site_label
_atom_site_fract_x
_atom_site_fract_y
_atom_site_fract_z
_atom_site_occupancy
Nd1 0.000 0.500 0.226 1
Ho1 0.000 0.000 0.500 1
As1 0.000 0.500 0.872 1
As2 0.500 0.500 0.500 1
Rh1 0.000 0.000 0.000 1
Rh2 0.000 0.500 0.659 1
Rh3 0.500 0.500 0.000 1

=====

# 18
# NdHoAsS, relaxed, DFT PBE
# * formation energy without anion corrections: -1689 meV per atom
data_NdHoAsS
_chemical_formula_sum 'Nd3 Ho3 As3 S3'
_symmetry_space_group_name_H-M 'R 3 m'
_symmetry_Int_Tables_number 160
_symmetry_space_group_name_Hall 'R 3 -2"'
_cell_length_a 4.0106
_cell_length_b 4.0106
_cell_length_c 21.2282
_cell_angle_alpha 90.00
_cell_angle_beta 90.00
_cell_angle_gamma 120.00
loop_
_atom_site_label
_atom_site_fract_x
_atom_site_fract_y
_atom_site_fract_z
_atom_site_occupancy
Nd1 0.0000 0.0000 0.0000 1
Ho1 0.0000 0.0000 0.1730 1
As1 0.0000 0.0000 0.5815 1
S1 0.0000 0.0000 0.7590 1

=====

# 19
# NdHoSbAs, relaxed, DFT PBE
# * formation energy without anion corrections: -1314 meV per atom
data_NdHoSbAs
_chemical_formula_sum 'Nd3 Ho3 Sb3 As3'
_symmetry_space_group_name_H-M 'R 3 m'
_symmetry_Int_Tables_number 160
_symmetry_space_group_name_Hall 'R 3 -2"'
_cell_length_a 4.3031
_cell_length_b 4.3031
_cell_length_c 21.2792
_cell_angle_alpha 90.00
_cell_angle_beta 90.00
_cell_angle_gamma 120.00
loop_
_atom_site_label
_atom_site_fract_x
_atom_site_fract_y
_atom_site_fract_z
_atom_site_occupancy
Nd1 0.0000 0.0000 0.0000 1
Ho1 0.0000 0.0000 0.5112 1
Sb1 0.0000 0.0000 0.7591 1
As1 0.0000 0.0000 0.2523 1

=====

# 20
# Nd2HoScAs4, relaxed, DFT PBE
# * energy of formation from the pure elements: -1.455 eV/atom
data_Nd2HoScAs4
_chemical_formula_sum 'Nd2 Ho1 Sc1 As4'
_symmetry_space_group_name_H-M 'P 1 2/m 1'
_symmetry_Int_Tables_number 10
_cell_length_a 7.151
_cell_length_b 4.145
_cell_length_c 7.169
_cell_angle_alpha 90.00
_cell_angle_beta 109.53
_cell_angle_gamma 90.00
loop_
_symmetry_equiv_pos_as_xyz
'x,y,z'
'-x,-y,-z'
'-x,y,-z'
'x,-y,z'
loop_
_atom_site_label
_atom_site_fract_x
_atom_site_fract_y
_atom_site_fract_z
_atom_site_occupancy
Nd1 0.000 0.000 0.000 1
Nd2 0.000 0.500 0.500 1
Ho1 0.500 0.000 0.500 1
Sc1 0.500 0.500 0.000 1
As1 0.265 0.500 0.249 1
As2 0.269 0.000 0.762 1

=====

How do the records compare in uncorrected energy? In the order shown, they have -7.191 -6.361 -5.815 -6.685 -5.739 -6.204 -6.178 -6.205 -6.170 -6.188 -6.172 -6.197 -6.188 -7.260 -6.893 -6.747 -6.714 -6.219 -5.844 -6.335 eV per atom.